(1)
Material: Tm5W2O12
Method: DFT, GGA+U
State: relaxed

```
Tm5W2O12
1.0
5.726 0.000 0.000
-2.863 5.814 -1.883
0.000 -0.008 7.499
Tm W O
5 2 12
Direct
0.302 0.604 0.638 Tm
0.314 0.627 0.183 Tm
0.000 0.000 0.500 Tm
0.686 0.373 0.817 Tm
0.698 0.396 0.362 Tm
0.780 0.000 0.000 W
0.220 0.000 0.000 W
0.995 0.991 0.209 O
0.090 0.664 0.910 O
0.574 0.664 0.910 O
0.099 0.692 0.428 O
0.593 0.692 0.428 O
0.501 0.001 0.814 O
0.499 0.999 0.186 O
0.901 0.308 0.572 O
0.407 0.308 0.572 O
0.910 0.336 0.090 O
0.426 0.336 0.090 O
0.005 0.009 0.791 O
```

Summary:
Its total energy is -0.5995 Ry per atom. As for the space group: C2/m (12).


(2)
Material: YTmWO6
Method: DFT, GGA+U
State: relaxed

```
YTmWO6
1.0
5.485 0.000 0.000
-2.742 4.750 0.000
0.000 0.000 9.543
Y Tm W O
2 2 2 12
Direct
0.000 0.000 0.000 Y
0.000 0.000 0.500 Y
0.333 0.667 0.250 Tm
0.667 0.333 0.750 Tm
0.667 0.333 0.250 W
0.333 0.667 0.750 W
0.668 0.631 0.136 O
0.963 0.332 0.136 O
0.332 0.963 0.636 O
0.037 0.668 0.864 O
0.369 0.332 0.364 O
0.963 0.631 0.364 O
0.631 0.963 0.864 O
0.668 0.037 0.364 O
0.037 0.369 0.636 O
0.369 0.037 0.136 O
0.631 0.668 0.636 O
0.332 0.369 0.864 O
```

Summary:
Its total energy is -0.6067 Ry per atom. As for the space group: P-31c (163).


(3)
Material: YTm2WO8
Method: DFT, GGA+U
State: relaxed

```
YTm2WO8
1.0
5.002 -0.042 -0.003
-0.018 5.003 -0.006
0.004 0.007 6.777
Y Tm W O
1 2 1 8
Direct
0.000 0.000 0.500 Y
0.500 0.500 0.751 Tm
0.500 0.500 0.249 Tm
0.000 0.000 0.000 W
0.186 0.814 0.212 O
0.721 0.721 0.000 O
0.814 0.186 0.212 O
0.814 0.186 0.788 O
0.279 0.279 0.000 O
0.186 0.814 0.788 O
0.689 0.689 0.500 O
0.311 0.311 0.500 O
```

Summary:
Its total energy is -0.5932 Ry per atom. As for the space group: Cmmm (65).


What is the formula in the second record?
YTmWO6


What did the third record say?
Material: YTm2WO8
Method: DFT, GGA+U
State: relaxed

```
YTm2WO8
1.0
5.002 -0.042 -0.003
-0.018 5.003 -0.006
0.004 0.007 6.777
Y Tm W O
1 2 1 8
Direct
0.000 0.000 0.500 Y
0.500 0.500 0.751 Tm
0.500 0.500 0.249 Tm
0.000 0.000 0.000 W
0.186 0.814 0.212 O
0.721 0.721 0.000 O
0.814 0.186 0.212 O
0.814 0.186 0.788 O
0.279 0.279 0.000 O
0.186 0.814 0.788 O
0.689 0.689 0.500 O
0.311 0.311 0.500 O
```

Summary:
Its total energy is -0.5932 Ry per atom. As for the space group: Cmmm (65).